No. 1
Below is ZrBeCr4 after structural relaxation, with properties calculated at the PBE level.

Its formation energy is 0.25 eV per atom. The density of states at the Fermi level comes out at 41.43 states/eV/cell. The theoretical density is 6.328 g cm⁻³.

The space group is F-43m (No. 216) and the conventional cell measures 6.8648, 6.8648 and 6.8648 Å, with angles of 90.00, 90.00 and 90.00 degrees. Symmetry generates all atoms from Zr at (0.0000, 0.0000, 0.0000), Be at (0.2500, 0.2500, 0.7500) and Cr at (0.1235, 0.1235, 0.3765).

No. 2
Below is Zr2BeCr after structural relaxation, with properties calculated at the PBE level.

Its formation energy is 0.17 eV per atom. The density of states at the Fermi level comes out at 5.67 states/eV/cell. The theoretical density is 6.132 g cm⁻³.

The space group is P4mm (No. 99) and the conventional cell measures 3.1877, 3.1877 and 6.4879 Å, with angles of 90.00, 90.00 and 90.00 degrees. Symmetry generates all atoms from Zr at (0.0000, 0.0000, 0.0000), Zr at (0.5000, 0.5000, 0.3483), Be at (0.0000, 0.0000, 0.5920) and Cr at (0.5000, 0.5000, 0.7260).

No. 3
Below is ZrBe2Cr2 after structural relaxation, with properties calculated at the PBE level.

Its formation energy is 0.25 eV per atom. The density of states at the Fermi level comes out at 5.34 states/eV/cell. The theoretical density is 5.376 g cm⁻³. The value obtained for the energy above the most stable polymorph in this dataset is 102 meV per atom.

The space group is I4/mmm (No. 139) and the conventional cell measures 3.8746, 3.8746 and 8.7757 Å, with angles of 90.00, 90.00 and 90.00 degrees. Symmetry generates all atoms from Zr at (0.0000, 0.0000, 0.0000), Be at (0.0000, 0.5000, 0.2500) and Cr at (0.0000, 0.0000, 0.3877).

- theoretical density of number 2 (Zr2BeCr)?
  6.132 g cm⁻³